The following is a PBE calculation of an optimized crystal structure of MgCu3Hg, from Alexandria.

Results
electronic total energy = -0.154 Ry per atom
total moment = 0.000 μB per atom
DOS at the Fermi energy = 2.33 states/eV/f.u.
formation enthalpy at 0 K = 0.745 eV per atom

abc: 4.828 4.828 4.828
angles: 90.00 90.00 90.00
Positions (direct):
Mg (0.000, 0.000, 0.000)
Cu (0.000, 0.500, 0.500)
Cu (0.500, 0.000, 0.500)
Cu (0.500, 0.500, 0.000)
Hg (0.500, 0.500, 0.500)